# PBE Sn4HgCl8, relaxed
# V in Å³ per cell: 464.4
# ΔE_f (raw) in eV/atom: -0.91
# Total energy in eV/atom: -3.30
data_Sn4HgCl8
_chemical_formula_sum 'Sn4 Hg1 Cl8'
_cell_length_a 4.218
_cell_length_b 10.619
_cell_length_c 10.977
_cell_angle_alpha 77.35
_cell_angle_beta 78.92
_cell_angle_gamma 78.55
_space_group_name_H-M_alt 'P 1'
_space_group_IT_number 1
loop_
_space_group_symop_operation_xyz
'x,y,z'
loop_
_atom_site_label
_atom_site_type_symbol
_atom_site_fract_x
_atom_site_fract_y
_atom_site_fract_z
_atom_site_occupancy
Sn1 Sn 0.184 0.490 0.142 1
Cl1 Cl 0.130 0.308 0.431 1
Cl2 Cl 0.579 0.640 0.201 1
Sn2 Sn 0.377 0.850 0.396 1
Sn3 Sn 0.849 0.512 0.790 1
Hg1 Hg 0.513 0.001 0.973 1
Cl3 Cl 0.453 0.362 0.731 1
Cl4 Cl 0.807 0.059 0.328 1
Cl5 Cl 0.901 0.697 0.502 1
Sn4 Sn 0.654 0.155 0.537 1
Cl6 Cl 0.815 0.356 0.014 1
Cl7 Cl 0.218 0.646 0.918 1
Cl8 Cl 0.224 0.946 0.606 1